# 1
DFT (PBE-GGA) results for a relaxed AcTmS3 crystal.

Its relative energy among the computed polymorphs is 0.0 meV/atom.

The structure belongs to space group Pnma (No. 62); the cell edges are 8.3177, 4.0745 and 14.5640 Å and the angles 90.00°, 90.00° and 90.00°. The inequivalent atoms are Ac at (0.1172, 0.2500, 0.1887), Tm at (0.1795, 0.7500, 0.4523), S at (0.0044, 0.7500, 0.6109), S at (0.1607, 0.7500, 0.0364) and S at (0.1678, 0.2500, 0.7907).



# 2
DFT (PBE-GGA) results for a relaxed AcTmS crystal.

Its relative energy among the computed polymorphs is 0.0 meV/atom.

The structure belongs to space group P3m1 (No. 156); the cell edges are 3.9344, 3.9344 and 6.8108 Å and the angles 90.00°, 90.00° and 120.00°. The inequivalent atoms are Ac at (0.0000, 0.0000, 0.0000), Tm at (0.6667, 0.3333, 0.4848) and S at (0.3333, 0.6667, 0.7027).